Zr3CuTe6: optimized geometry, GGA-PBE.

Structure (CIF):
```
data_Zr3CuTe6
_space_group_name_H-M_alt 'R -3'
_space_group_IT_number 148
_space_group_name_Hall '-R 3'
_cell_length_a 11.6018
_cell_length_b 11.6018
_cell_length_c 14.9563
_cell_angle_alpha 90.00
_cell_angle_beta 90.00
_cell_angle_gamma 120.00
loop_
_atom_site_label
_atom_site_fract_x
_atom_site_fract_y
_atom_site_fract_z
Zr1 0.0387 0.4499 0.3740
Cu1 0.0000 0.0000 0.0000
Cu2 0.0000 0.0000 0.5000
Te1 0.0105 0.8110 0.1145
Te2 0.0381 0.1940 0.3771
```

Values from the calculation:
Total DFT energy (no corrections)   -5.420 eV per atom
Calculated volume   29.057 Å³/atom

---

Zr2GaSnBi: optimized geometry, GGA-PBE.

Structure (CIF):
```
data_Zr2GaSnBi
_space_group_name_H-M_alt 'P 4/m m m'
_space_group_IT_number 123
_space_group_name_Hall '-P 4 2'
_cell_length_a 5.396
_cell_length_b 5.396
_cell_length_c 5.673
_cell_angle_alpha 90.00
_cell_angle_beta 90.00
_cell_angle_gamma 90.00
loop_
_atom_site_label
_atom_site_fract_x
_atom_site_fract_y
_atom_site_fract_z
Zr1 0.000 0.500 0.000
Ga1 0.000 0.000 0.500
Sn1 0.500 0.500 0.000
Bi1 0.500 0.500 0.500
```

Values from the calculation:
Formation energy from the elements   0.91 eV/atom
Total DFT energy (no corrections)   -4.691 eV per atom
Calculated volume   33.029 Å³/atom

---

PuAgIr4: optimized geometry, GGA-PBE.

Structure (CIF):
```
data_PuAgIr4
_space_group_name_H-M_alt 'F -4 3 m'
_space_group_IT_number 216
_space_group_name_Hall 'F -4 2 3'
_cell_length_a 7.476
_cell_length_b 7.476
_cell_length_c 7.476
_cell_angle_alpha 90.00
_cell_angle_beta 90.00
_cell_angle_gamma 90.00
loop_
_atom_site_label
_atom_site_fract_x
_atom_site_fract_y
_atom_site_fract_z
Pu1 0.000 0.000 0.000
Ag1 0.250 0.250 0.750
Ir1 0.125 0.125 0.375
```

Values from the calculation:
Formation energy from the elements   -0.18 eV/atom
Total DFT energy (no corrections)   -8.949 eV per atom
Calculated volume   17.410 Å³/atom

---

KBeW2: optimized geometry, GGA-PBE.

Structure (CIF):
```
data_KBeW2
_space_group_name_H-M_alt 'P 4/m m m'
_space_group_IT_number 123
_space_group_name_Hall '-P 4 2'
_cell_length_a 3.822
_cell_length_b 3.822
_cell_length_c 5.067
_cell_angle_alpha 90.00
_cell_angle_beta 90.00
_cell_angle_gamma 90.00
loop_
_atom_site_label
_atom_site_fract_x
_atom_site_fract_y
_atom_site_fract_z
K1 0.000 0.000 0.000
Be1 0.500 0.500 0.000
W1 0.000 0.500 0.500
```

Values from the calculation:
Formation energy from the elements   1.83 eV/atom
Total DFT energy (no corrections)   -5.852 eV per atom
Calculated volume   18.501 Å³/atom

---

Ca8AlTl2: optimized geometry, GGA-PBE.

Structure (CIF):
```
data_Ca8AlTl2
_space_group_name_H-M_alt 'I m m m'
_space_group_IT_number 71
_space_group_name_Hall '-I 2 2'
_cell_length_a 5.530
_cell_length_b 7.788
_cell_length_c 16.727
_cell_angle_alpha 90.00
_cell_angle_beta 90.00
_cell_angle_gamma 90.00
loop_
_atom_site_label
_atom_site_fract_x
_atom_site_fract_y
_atom_site_fract_z
Ca1 0.000 0.000 0.179
Ca2 0.000 0.233 0.355
Ca3 0.000 0.264 0.000
Al1 0.000 0.500 0.500
Tl1 0.000 0.500 0.183
```

Values from the calculation:
Formation energy from the elements   -0.21 eV/atom
Total DFT energy (no corrections)   -2.432 eV per atom
Calculated volume   32.742 Å³/atom

---

Pm4NpSb5: optimized geometry, GGA-PBE.

Structure (CIF):
```
data_Pm4NpSb5
_space_group_name_H-M_alt 'I 4/m m m'
_space_group_IT_number 139
_space_group_name_Hall '-I 4 2'
_cell_length_a 4.477
_cell_length_b 4.477
_cell_length_c 31.602
_cell_angle_alpha 90.00
_cell_angle_beta 90.00
_cell_angle_gamma 90.00
loop_
_atom_site_label
_atom_site_fract_x
_atom_site_fract_y
_atom_site_fract_z
Pm1 0.000 0.000 0.100
Pm2 0.000 0.000 0.300
Np1 0.000 0.000 0.500
Sb1 0.000 0.000 0.000
Sb2 0.000 0.000 0.200
Sb3 0.000 0.000 0.401
```

Values from the calculation:
Total DFT energy (no corrections)   -6.239 eV per atom
Calculated volume   31.677 Å³/atom

---

KCuIO2: optimized geometry, GGA-PBE.

Structure (CIF):
```
data_KCuIO2
_space_group_name_H-M_alt 'P 4/m m m'
_space_group_IT_number 123
_space_group_name_Hall '-P 4 2'
_cell_length_a 4.542
_cell_length_b 4.542
_cell_length_c 7.271
_cell_angle_alpha 90.00
_cell_angle_beta 90.00
_cell_angle_gamma 90.00
loop_
_atom_site_label
_atom_site_fract_x
_atom_site_fract_y
_atom_site_fract_z
K1 0.000 0.000 0.000
Cu1 0.500 0.500 0.500
I1 0.000 0.000 0.500
O1 0.000 0.500 0.000
```

Values from the calculation:
Total DFT energy (no corrections)   -2.619 eV per atom
Calculated volume   30.004 Å³/atom

---

LaPm2Os: optimized geometry, GGA-PBE.

Structure (CIF):
```
data_LaPm2Os
_space_group_name_H-M_alt 'P 4/m m m'
_space_group_IT_number 123
_space_group_name_Hall '-P 4 2'
_cell_length_a 3.495
_cell_length_b 3.495
_cell_length_c 9.762
_cell_angle_alpha 90.00
_cell_angle_beta 90.00
_cell_angle_gamma 90.00
loop_
_atom_site_label
_atom_site_fract_x
_atom_site_fract_y
_atom_site_fract_z
La1 0.000 0.000 0.000
Pm1 0.500 0.500 0.326
Os1 0.000 0.000 0.500
```

Values from the calculation:
Formation energy from the elements   0.01 eV/atom
Total DFT energy (no corrections)   -6.404 eV per atom
Calculated volume   29.804 Å³/atom

---

SmH8Rh6: optimized geometry, GGA-PBE.

Structure (CIF):
```
data_SmH8Rh6
_space_group_name_H-M_alt 'R -3'
_space_group_IT_number 148
_space_group_name_Hall '-R 3'
_cell_length_a 7.9957
_cell_length_b 7.9957
_cell_length_c 7.3989
_cell_angle_alpha 90.00
_cell_angle_beta 90.00
_cell_angle_gamma 120.00
loop_
_atom_site_label
_atom_site_fract_x
_atom_site_fract_y
_atom_site_fract_z
Sm1 0.0000 0.0000 0.0000
H1 0.0000 0.0000 0.3234
H2 0.0173 0.4220 0.7961
Rh1 0.0387 0.2432 0.6602
```

Values from the calculation:
Total DFT energy (no corrections)   -5.207 eV per atom
Calculated volume   9.103 Å³/atom

---

AcInP4: optimized geometry, GGA-PBE.

Structure (CIF):
```
data_AcInP4
_space_group_name_H-M_alt 'F -4 3 m'
_space_group_IT_number 216
_space_group_name_Hall 'F -4 2 3'
_cell_length_a 7.919
_cell_length_b 7.919
_cell_length_c 7.919
_cell_angle_alpha 90.00
_cell_angle_beta 90.00
_cell_angle_gamma 90.00
loop_
_atom_site_label
_atom_site_fract_x
_atom_site_fract_y
_atom_site_fract_z
Ac1 0.000 0.000 0.000
In1 0.250 0.250 0.250
P1 0.110 0.110 0.610
```

Values from the calculation:
Formation energy from the elements   -0.15 eV/atom
Total DFT energy (no corrections)   -4.896 eV per atom
Calculated volume   20.689 Å³/atom

---

CePrHgTe2: optimized geometry, GGA-PBE.

Structure (CIF):
```
data_CePrHgTe2
_space_group_name_H-M_alt 'P 4/n m m'
_space_group_IT_number 129
_cell_length_a 4.487
_cell_length_b 4.487
_cell_length_c 15.362
_cell_angle_alpha 90.00
_cell_angle_beta 90.00
_cell_angle_gamma 90.00
loop_
_space_group_symop_operation_xyz
'x,y,z'
'-x,-y,-z'
'-y+1/2,x,z'
'y+1/2,-x,-z'
'-x+1/2,-y+1/2,z'
'x+1/2,y+1/2,-z'
'y,-x+1/2,z'
'-y,x+1/2,-z'
'x+1/2,-y,-z'
'-x+1/2,y,z'
'-y,-x,-z'
'y,x,z'
'-x,y+1/2,-z'
'x,-y+1/2,z'
'y+1/2,x+1/2,-z'
'-y+1/2,-x+1/2,z'
loop_
_atom_site_label
_atom_site_fract_x
_atom_site_fract_y
_atom_site_fract_z
Ce1 0.250 0.250 0.095
Pr1 0.250 0.250 0.675
Hg1 0.250 0.750 0.500
Te1 0.250 0.250 0.302
Te2 0.250 0.250 0.888
```

Values from the calculation:
Total DFT energy (no corrections)   -4.563 eV per atom
Calculated volume   30.927 Å³/atom

---

AcPdPtO6: optimized geometry, GGA-PBE.

Structure (CIF):
```
data_AcPdPtO6
_space_group_name_H-M_alt 'P -3 1 c'
_space_group_IT_number 163
_space_group_name_Hall '-P 3 2c'
_cell_length_a 5.3179
_cell_length_b 5.3179
_cell_length_c 10.6807
_cell_angle_alpha 90.00
_cell_angle_beta 90.00
_cell_angle_gamma 120.00
loop_
_atom_site_label
_atom_site_fract_x
_atom_site_fract_y
_atom_site_fract_z
Ac1 0.0000 0.0000 0.0000
Pd1 0.3333 0.6667 0.2500
Pt1 0.3333 0.6667 0.7500
O1 0.0023 0.3705 0.6462
```

Values from the calculation:
Total DFT energy (no corrections)   -6.275 eV per atom
Calculated volume   14.532 Å³/atom

---

Sm4RuSe3: optimized geometry, GGA-PBE.

Structure (CIF):
```
data_Sm4RuSe3
_space_group_name_H-M_alt 'C m m m'
_space_group_IT_number 65
_space_group_name_Hall '-C 2 2'
_cell_length_a 8.635
_cell_length_b 11.831
_cell_length_c 4.093
_cell_angle_alpha 90.00
_cell_angle_beta 90.00
_cell_angle_gamma 90.00
loop_
_atom_site_label
_atom_site_fract_x
_atom_site_fract_y
_atom_site_fract_z
Sm1 0.000 0.231 0.000
Sm2 0.234 0.000 0.500
Ru1 0.000 0.000 0.000
Se1 0.000 0.500 0.000
Se2 0.250 0.250 0.500
```

Values from the calculation:
Total DFT energy (no corrections)   -6.209 eV per atom
Calculated volume   26.132 Å³/atom

---

TbAg2Au: optimized geometry, GGA-PBE.

Structure (CIF):
```
data_TbAg2Au
_space_group_name_H-M_alt 'P 4/m m m'
_space_group_IT_number 123
_space_group_name_Hall '-P 4 2'
_cell_length_a 4.230
_cell_length_b 4.230
_cell_length_c 4.751
_cell_angle_alpha 90.00
_cell_angle_beta 90.00
_cell_angle_gamma 90.00
loop_
_atom_site_label
_atom_site_fract_x
_atom_site_fract_y
_atom_site_fract_z
Tb1 0.000 0.000 0.000
Ag1 0.000 0.500 0.500
Au1 0.500 0.500 0.000
```

Values from the calculation:
Formation energy from the elements   -0.29 eV/atom
Total DFT energy (no corrections)   -3.692 eV per atom
Calculated volume   21.255 Å³/atom

---

MoS3Br: optimized geometry, GGA-PBE.

Structure (CIF):
```
data_MoS3Br
_space_group_name_H-M_alt 'P m -3 m'
_space_group_IT_number 221
_space_group_name_Hall '-P 4 2 3'
_cell_length_a 4.701
_cell_length_b 4.701
_cell_length_c 4.701
_cell_angle_alpha 90.00
_cell_angle_beta 90.00
_cell_angle_gamma 90.00
loop_
_atom_site_label
_atom_site_fract_x
_atom_site_fract_y
_atom_site_fract_z
Mo1 0.000 0.000 0.000
S1 0.000 0.000 0.500
Br1 0.500 0.500 0.500
```

Values from the calculation:
Total DFT energy (no corrections)   -4.831 eV per atom
Calculated volume   20.784 Å³/atom

---

CaTlInAu: optimized geometry, GGA-PBE.

Structure (CIF):
```
data_CaTlInAu
_space_group_name_H-M_alt 'F -4 3 m'
_space_group_IT_number 216
_space_group_name_Hall 'F -4 2 3'
_cell_length_a 7.309
_cell_length_b 7.309
_cell_length_c 7.309
_cell_angle_alpha 90.00
_cell_angle_beta 90.00
_cell_angle_gamma 90.00
loop_
_atom_site_label
_atom_site_fract_x
_atom_site_fract_y
_atom_site_fract_z
Ca1 0.000 0.000 0.000
Tl1 0.250 0.250 0.750
In1 0.000 0.000 0.500
Au1 0.250 0.250 0.250
```

Values from the calculation:
Formation energy from the elements   -0.38 eV/atom
Total DFT energy (no corrections)   -2.974 eV per atom
Calculated volume   24.405 Å³/atom

---

LaSm3: optimized geometry, GGA-PBE.

Structure (CIF):
```
data_LaSm3
_space_group_name_H-M_alt 'P -1'
_space_group_IT_number 2
_cell_length_a 3.683
_cell_length_b 6.345
_cell_length_c 12.055
_cell_angle_alpha 95.09
_cell_angle_beta 98.72
_cell_angle_gamma 90.06
loop_
_space_group_symop_operation_xyz
'x,y,z'
'-x,-y,-z'
loop_
_atom_site_label
_atom_site_fract_x
_atom_site_fract_y
_atom_site_fract_z
La1 0.188 0.395 0.374
Sm1 0.060 0.689 0.122
Sm2 0.313 0.106 0.625
Sm3 0.440 0.813 0.877
```

Values from the calculation:
Formation energy from the elements   0.01 eV/atom
Total DFT energy (no corrections)   -4.758 eV per atom
Calculated volume   34.666 Å³/atom

---

SrNbTe2: optimized geometry, GGA-PBE.

Structure (CIF):
```
data_SrNbTe2
_space_group_name_H-M_alt 'R -3 m'
_space_group_IT_number 166
_space_group_name_Hall '-R 3 2"'
_cell_length_a 3.8337
_cell_length_b 3.8337
_cell_length_c 30.8175
_cell_angle_alpha 90.00
_cell_angle_beta 90.00
_cell_angle_gamma 120.00
loop_
_atom_site_label
_atom_site_fract_x
_atom_site_fract_y
_atom_site_fract_z
Sr1 0.0000 0.0000 0.0000
Nb1 0.0000 0.0000 0.5000
Te1 0.0000 0.0000 0.1087
```

Values from the calculation:
Total DFT energy (no corrections)   -4.867 eV per atom
Calculated volume   32.688 Å³/atom

---

SrLi2SiRu: optimized geometry, GGA-PBE.

Structure (CIF):
```
data_SrLi2SiRu
_space_group_name_H-M_alt 'P 4/m m m'
_space_group_IT_number 123
_space_group_name_Hall '-P 4 2'
_cell_length_a 4.810
_cell_length_b 4.810
_cell_length_c 4.597
_cell_angle_alpha 90.00
_cell_angle_beta 90.00
_cell_angle_gamma 90.00
loop_
_atom_site_label
_atom_site_fract_x
_atom_site_fract_y
_atom_site_fract_z
Sr1 0.000 0.000 0.000
Li1 0.000 0.500 0.500
Si1 0.500 0.500 0.000
Ru1 0.500 0.500 0.500
```

Values from the calculation:
Total DFT energy (no corrections)   -4.123 eV per atom
Calculated volume   21.269 Å³/atom

---

Dy4YGa4: optimized geometry, GGA-PBE.

Structure (CIF):
```
data_Dy4YGa4
_space_group_name_H-M_alt 'P 42/n'
_space_group_IT_number 86
_cell_length_a 9.033
_cell_length_b 9.033
_cell_length_c 5.971
_cell_angle_alpha 90.00
_cell_angle_beta 90.00
_cell_angle_gamma 90.00
loop_
_space_group_symop_operation_xyz
'x,y,z'
'-x,-y,-z'
'-y,x+1/2,z+1/2'
'y,-x+1/2,-z+1/2'
'-x+1/2,-y+1/2,z'
'x+1/2,y+1/2,-z'
'y+1/2,-x,z+1/2'
'-y+1/2,x,-z+1/2'
loop_
_atom_site_label
_atom_site_fract_x
_atom_site_fract_y
_atom_site_fract_z
Dy1 0.067 0.658 0.130
Y1 0.250 0.250 0.250
Ga1 0.023 0.619 0.617
```

Values from the calculation:
Formation energy from the elements   -0.37 eV/atom
Total DFT energy (no corrections)   -4.479 eV per atom
Calculated volume   27.064 Å³/atom

---

Sm5Cu2Sn: optimized geometry, GGA-PBE.

Structure (CIF):
```
data_Sm5Cu2Sn
_space_group_name_H-M_alt 'I 4/m c m'
_space_group_IT_number 140
_space_group_name_Hall '-I 4 2c'
_cell_length_a 8.079
_cell_length_b 8.079
_cell_length_c 13.219
_cell_angle_alpha 90.00
_cell_angle_beta 90.00
_cell_angle_gamma 90.00
loop_
_atom_site_label
_atom_site_fract_x
_atom_site_fract_y
_atom_site_fract_z
Sm1 0.000 0.000 0.000
Sm2 0.156 0.344 0.143
Cu1 0.128 0.372 0.500
Sn1 0.000 0.000 0.250
```

Values from the calculation:
Formation energy from the elements   -0.31 eV/atom
Total DFT energy (no corrections)   -4.782 eV per atom
Calculated volume   26.963 Å³/atom

---

CsSrHg14: optimized geometry, GGA-PBE.

Structure (CIF):
```
data_CsSrHg14
_space_group_name_H-M_alt 'I m m a'
_space_group_IT_number 74
_space_group_name_Hall '-I 2b 2'
_cell_length_a 11.350
_cell_length_b 11.608
_cell_length_c 15.493
_cell_angle_alpha 90.00
_cell_angle_beta 90.00
_cell_angle_gamma 90.00
loop_
_atom_site_label
_atom_site_fract_x
_atom_site_fract_y
_atom_site_fract_z
Cs1 0.000 0.250 0.111
Sr1 0.000 0.000 0.500
Hg1 0.127 0.250 0.788
Hg2 0.133 0.009 0.298
Hg3 0.141 0.250 0.586
Hg4 0.145 0.250 0.384
Hg5 0.146 0.050 0.912
```

Values from the calculation:
Formation energy from the elements   -0.15 eV/atom
Total DFT energy (no corrections)   -0.569 eV per atom
Calculated volume   31.893 Å³/atom

---

MnZnCo2: optimized geometry, GGA-PBE.

Structure (CIF):
```
data_MnZnCo2
_space_group_name_H-M_alt 'C 1 2/m 1'
_space_group_IT_number 12
_cell_length_a 9.049
_cell_length_b 2.865
_cell_length_c 4.159
_cell_angle_alpha 90.00
_cell_angle_beta 116.37
_cell_angle_gamma 90.00
loop_
_space_group_symop_operation_xyz
'x,y,z'
'-x,-y,-z'
'-x,y,-z'
'x,-y,z'
'x+1/2,y+1/2,z'
'-x+1/2,-y+1/2,-z'
'-x+1/2,y+1/2,-z'
'x+1/2,-y+1/2,z'
loop_
_atom_site_label
_atom_site_fract_x
_atom_site_fract_y
_atom_site_fract_z
Mn1 0.000 0.000 0.000
Zn1 0.000 0.500 0.500
Co1 0.243 0.500 0.244
```

Values from the calculation:
Formation energy from the elements   0.06 eV/atom
Total DFT energy (no corrections)   -6.102 eV per atom
Calculated volume   12.077 Å³/atom